VASP calculation (PBE) on BeTl2Ru after structural relaxation.

The calculated total energy comes out at -4.054 eV per atom. As for the size of the total moment: 0.0 μB per cell. As for the formation enthalpy at 0 K: 0.38 eV/atom.

Cell and atoms, written as POSCAR:
```
BeTl2Ru
1.0
6.211 -0.834 -0.493
5.477 3.045 -0.493
5.477 1.036 2.906
Tl Ru Be
2 1 1
direct
0.772 0.772 0.772
0.976 0.976 0.976
0.208 0.208 0.208
0.545 0.545 0.545
```


VASP calculation (PBE) on Be4TlRu after structural relaxation.

The calculated total energy comes out at -4.303 eV per atom. As for the size of the total moment: 0.0 μB per cell. As for the formation enthalpy at 0 K: 0.12 eV/atom.

Cell and atoms, written as POSCAR:
```
Be4TlRu
1.0
1.838 -2.278 -3.491
2.741 -3.553 0.789
-1.412 -4.224 -0.960
Be Tl Ru
4 1 1
direct
0.377 0.377 0.868
0.377 0.377 0.377
0.868 0.377 0.377
0.377 0.868 0.377
0.000 0.000 0.000
0.750 0.750 0.750
```